A plane-wave DFT calculation with GGA-PBE was carried out for a relaxed structure of P4AuCl.

The structure belongs to space group F-43m (No. 216); the cell edges are 7.980, 7.980 and 7.980 Å and the angles 90.00°, 90.00° and 90.00°. The asymmetric unit holds P at (0.098, 0.098, 0.402), Au at (0.000, 0.000, 0.000) and Cl at (0.250, 0.250, 0.750).

The volume comes out at 21.174 Å³/atom. The total energy is -97.3 eV for the cell shown. For the formation energy (no corrections), the calculation gives 0.41 eV per atom.